VASP calculation (GGA-PBE) on crystalline LuNbSnC at its relaxed geometry.

The mass density is 9.3 Mg/m³. The value obtained for the total energy is -7.48 eV per atom. The volume is 17.83 Å³/atom.

It has space group P-6m2 (No. 187), with a = 3.3313 Å, b = 3.3313 Å, c = 14.8389 Å, α = 90.00°, β = 90.00° and γ = 120.00°. The asymmetric unit holds Lu at (0.0000, 0.0000, 0.1732), Nb at (0.6667, 0.3333, 0.3444), Sn at (0.0000, 0.0000, 0.5000), Sn at (0.6667, 0.3333, 0.0000) and C at (0.3333, 0.6667, 0.2654).